Record 1
# K2LiVCl6, optimized geometry, DFT PBE-GGA
data_K2LiVCl6
_chemical_formula_sum 'K8 Li4 V4 Cl24'
_space_group_name_H-M_alt 'F m -3 m'
_space_group_IT_number 225
_space_group_name_Hall '-F 4 2 3'
_cell_length_a 9.914
_cell_length_b 9.914
_cell_length_c 9.914
_cell_angle_alpha 90.00
_cell_angle_beta 90.00
_cell_angle_gamma 90.00
loop_
_atom_site_label
_atom_site_type_symbol
_atom_site_fract_x
_atom_site_fract_y
_atom_site_fract_z
K1 K 0.250 0.250 0.250
Li1 Li 0.000 0.000 0.000
V1 V 0.000 0.000 0.500
Cl1 Cl 0.000 0.000 0.259
# crystal system	cubic
# uncorrected formation energy	-1638.0	meV per atom

Record 2
# K3LiV2Cl9, optimized geometry, DFT PBE-GGA
data_K3LiV2Cl9
_chemical_formula_sum 'K3 Li1 V2 Cl9'
_space_group_name_H-M_alt 'P -3 m 1'
_space_group_IT_number 164
_space_group_name_Hall '-P 3 2"'
_cell_length_a 7.0084
_cell_length_b 7.0084
_cell_length_c 8.6165
_cell_angle_alpha 90.00
_cell_angle_beta 90.00
_cell_angle_gamma 120.00
loop_
_atom_site_label
_atom_site_type_symbol
_atom_site_fract_x
_atom_site_fract_y
_atom_site_fract_z
K1 K 0.0000 0.0000 0.0000
K2 K 0.3333 0.6667 0.6526
Li1 Li 0.0000 0.0000 0.5000
V1 V 0.3333 0.6667 0.1691
Cl1 Cl 0.0000 0.5000 0.0000
Cl2 Cl 0.1710 0.3419 0.3254
# crystal system	trigonal
# uncorrected formation energy	-1578.2	meV per atom

Record 3
# KLi2VCl6, optimized geometry, DFT PBE-GGA
data_KLi2VCl6
_chemical_formula_sum 'K3 Li6 V3 Cl18'
_space_group_name_H-M_alt 'R -3'
_space_group_IT_number 148
_space_group_name_Hall '-R 3'
_cell_length_a 6.3191
_cell_length_b 6.3191
_cell_length_c 22.2819
_cell_angle_alpha 90.00
_cell_angle_beta 90.00
_cell_angle_gamma 120.00
loop_
_atom_site_label
_atom_site_type_symbol
_atom_site_fract_x
_atom_site_fract_y
_atom_site_fract_z
K1 K 0.0000 0.0000 0.0000
Li1 Li 0.0000 0.0000 0.1720
V1 V 0.0000 0.0000 0.5000
Cl1 Cl 0.0018 0.3131 0.5614
# crystal system	trigonal
# uncorrected formation energy	-1616.2	meV per atom

Number 1: electronic total energy -162.75 eV per cell. Number 2: electronic total energy -63.74 eV per cell. Number 3: electronic total energy -123.86 eV per cell.